Here is CuSi after structural relaxation from Alexandria via LeMat-Bulk. Energies are from PBE-GGA.

```
6
Lattice="2.548 -4.413 0.000 2.548 4.413 0.000 0.000 0.000 3.989" Properties=species:S:1:pos:R:3 pbc="T T T"
Si 1.274 2.207 0.000
Cu 2.548 1.471 1.995
Si 2.548 0.000 0.000
Cu 0.000 0.000 0.000
Cu 2.548 -1.471 1.995
Si 1.274 -2.207 0.000
```

Properties
raw total energy = -4.4863 eV per atom
calculated volume = 89.7 Å³ per cell
space-group type = No. 191
magnetization = 0.000 μB per atom